No. 1
Material: Tm2MgPd6
Method: DFT, PBE
State: relaxed

## Properties
Energy, eV/atom: -5.248
Total magnetic moment, μB per formula unit: 0.0
Energy of formation from the pure elements, eV/atom: -0.615

Cell lengths 3.1875, 7.3705, 7.9990 Å; angles 117.43, 89.94, 90.00 degrees
Element x y z (fractional)
Pd1 0.9998 0.6501 0.6860
Pd2 0.9998 0.0358 0.6860
Pd3 0.5000 0.3079 0.0000
Pd4 0.0002 0.9642 0.3140
Pd5 0.5000 0.6921 0.0000
Pd6 0.0002 0.3499 0.3140
Mg1 0.0000 0.0000 0.0000
Tm1 0.5006 0.6901 0.3801
Tm2 0.4994 0.3099 0.6199

=====

No. 2
Material: Tm6MgPd5
Method: DFT, PBE
State: relaxed

## Properties
Energy, eV/atom: -5.312
Total magnetic moment, μB per formula unit: 0.0
Energy of formation from the pure elements, eV/atom: -0.780

Cell lengths 4.9214, 7.0550, 8.5665 Å; angles 114.32, 106.69, 90.00 degrees
Element x y z (fractional)
Tm1 0.1717 0.4287 0.3433
Tm2 0.5000 0.2656 0.0000
Tm3 0.5000 0.7344 0.0000
Tm4 0.8283 0.5713 0.6567
Tm5 0.8283 0.0854 0.6567
Tm6 0.1717 0.9146 0.3433
Pd1 0.6518 0.1518 0.3036
Pd2 0.3482 0.8482 0.6964
Pd3 0.6713 0.6713 0.3425
Pd4 0.3287 0.3287 0.6575
Pd5 0.0000 0.5000 0.0000
Mg1 0.0000 0.0000 0.0000

=====

No. 3
Material: Tm4MgPd3
Method: DFT, PBE
State: relaxed

## Properties
Energy, eV/atom: -5.071
Total magnetic moment, μB per formula unit: 0.0
Energy of formation from the pure elements, eV/atom: -0.689

Cell lengths 4.9696, 7.0524, 9.9440 Å; angles 90.00, 90.00, 90.00 degrees
Element x y z (fractional)
Mg1 0.0000 0.5000 0.0000
Mg2 0.0000 0.5000 0.5000
Tm1 0.0001 0.7618 0.7500
Tm2 0.5000 0.7619 0.0000
Tm3 0.9999 0.2382 0.2500
Tm4 0.5000 0.2381 0.5000
Tm5 0.0001 0.2382 0.7500
Tm6 0.5000 0.2381 0.0000
Tm7 0.5000 0.7619 0.5000
Tm8 0.9999 0.7618 0.2500
Pd1 0.5002 0.0000 0.7500
Pd2 0.4998 0.0000 0.2500
Pd3 0.4998 0.5000 0.2500
Pd4 0.0000 0.0000 0.0000
Pd5 0.0000 0.0000 0.5000
Pd6 0.5002 0.5000 0.7500

=====

No. 4
Material: TmMg3Pd
Method: DFT, PBE
State: relaxed

## Properties
Energy, eV/atom: -3.290
Energy above the lowest structure with this stoichiometry, eV per formula unit: 0.00
Total magnetic moment, μB per formula unit: 0.0
Energy of formation from the pure elements, eV/atom: -0.400

Cell lengths 5.3706, 5.7948, 7.8283 Å; angles 90.00, 114.72, 90.00 degrees
Element x y z (fractional)
Mg1 0.7040 0.6961 0.4860
Mg2 0.1321 0.9476 0.3771
Mg3 0.3304 0.1961 0.0746
Mg4 0.3304 0.6991 0.0746
Mg5 0.9023 0.4476 0.1835
Mg6 0.7040 0.1991 0.4860
Pd1 0.1528 0.9476 0.7418
Pd2 0.8815 0.4476 0.8188
Tm1 0.7303 0.9476 0.8819
Tm2 0.3040 0.4476 0.6787

=====

Question: total magnetic moment of number 4 (TmMg3Pd)?
Answer: 0.0 μB per formula unit

=====

Question: Which of these has the highest energy of formation from the pure elements?
Answer: TmMg3Pd